Computed, not measured: crystalline ZnCl at its relaxed geometry at the PBE-GGA level of DFT.

Properties
Total moment in μB per cell: 0.000
Energy relative to the elements, uncorrected in meV/atom: -158
ρ in g/cm3: 2.3
Crystal system: cubic
Energy in eV/atom: -1.72

Lattice parameters (Å, degrees): 7.593 7.593 7.593 90.00 90.00 90.00
Element x y z (fractional)
Zn: 0.250 0.500 0.000
Zn: 0.000 0.750 0.500
Zn: 0.500 0.000 0.750
Zn: 0.000 0.250 0.500
Zn: 0.500 0.000 0.250
Zn: 0.750 0.500 0.000
Cl: 0.500 0.750 0.000
Cl: 0.000 0.500 0.250
Cl: 0.750 0.000 0.500
Cl: 0.000 0.500 0.750
Cl: 0.250 0.000 0.500
Cl: 0.500 0.250 0.000